Record 1
Here is an optimized crystal structure of LiGaNi2Os from Alexandria. Energies are from PBEsol.

Structure (POSCAR):
```
LiGaNi2Os
1.0
-3.032 2.761 -1.294
-2.911 -3.165 0.065
-0.966 0.978 4.350
Ga Os Li Ni
1 1 1 2
Direct
0.000 0.000 0.000
0.000 0.000 0.500
0.500 0.500 0.500
0.500 0.000 0.000
0.000 0.500 0.000
```

## Properties
Formation enthalpy at 0 K = 1121 meV/atom

=====

Record 2
Here is an optimized crystal structure of LiNiAs3 from Alexandria. Energies are from PBEsol.

Structure (POSCAR):
```
LiNiAs3
1.0
4.381 0.000 0.000
0.000 4.381 0.000
0.000 0.000 4.381
As Ni Li
3 1 1
Direct
0.500 0.000 0.000
0.000 0.500 0.000
0.000 0.000 0.500
0.500 0.500 0.500
0.000 0.000 0.000
```

## Properties
Formation enthalpy at 0 K = 743 meV/atom

=====

Record 3
Here is an optimized crystal structure of GeTePt from Alexandria. Energies are from PBEsol.

Structure (POSCAR):
```
GeTePt
1.0
6.250 0.000 0.000
0.000 6.250 0.000
0.000 0.000 6.250
Pt Te Ge
4 4 4
Direct
0.986 0.514 0.486
0.514 0.486 0.986
0.014 0.014 0.014
0.486 0.986 0.514
0.876 0.124 0.624
0.624 0.876 0.124
0.124 0.624 0.876
0.376 0.376 0.376
0.623 0.623 0.623
0.377 0.123 0.877
0.877 0.377 0.123
0.123 0.877 0.377
```

## Properties
E_form (uncorrected) = -0.484 eV/atom

=====

Record 4
Here is an optimized crystal structure of Al2CdAg2 from Alexandria. Energies are from PBEsol.

Structure (POSCAR):
```
Al2CdAg2
1.0
3.854 0.000 0.000
0.000 3.854 0.000
-1.927 -1.927 6.353
Ag Al Cd
2 2 1
Direct
0.250 0.750 0.500
0.750 0.250 0.500
0.399 0.399 0.798
0.601 0.601 0.202
0.000 0.000 0.000
```

## Properties
Formation enthalpy at 0 K = 144 meV/atom